Material: Th6As2PC3
Method: DFT, GGA-PBE
State: relaxed

The calculation puts the formation energy at -0.86 eV/atom.

It has space group C2/m (No. 12), with a = 17.6794 Å, b = 3.9493 Å, c = 8.1413 Å, α = 90.00°, β = 105.83° and γ = 90.00°. The asymmetric unit holds Th at (0.0077, 0.0000, 0.2359), Th at (0.1575, 0.5000, 0.1046), Th at (0.1731, 0.5000, 0.5624), As at (0.1672, 0.0000, 0.8345), P at (0.0000, 0.5000, 0.5000), C at (0.0000, 0.5000, 0.0000) and C at (0.1655, 0.0000, 0.3343).

=====

Material: CrCo3
Method: DFT, GGA-PBE
State: relaxed

As for the energy above the lowest structure with this stoichiometry: 25.2 meV per atom. The calculation puts the formation energy at 0.02 eV/atom.

It has space group Pm-3m (No. 221), with a = 3.5183 Å, b = 3.5183 Å, c = 3.5183 Å, α = 90.00°, β = 90.00° and γ = 90.00°. The asymmetric unit holds Cr at (0.0000, 0.0000, 0.0000) and Co at (0.0000, 0.5000, 0.5000).

=====

Material: CsNaInPb
Method: DFT, GGA-PBE
State: relaxed

As for the energy above the lowest structure with this stoichiometry: 81.0 meV per atom. The calculation puts the formation energy at -0.01 eV/atom.

It has space group F-43m (No. 216), with a = 8.2748 Å, b = 8.2748 Å, c = 8.2748 Å, α = 90.00°, β = 90.00° and γ = 90.00°. The asymmetric unit holds Cs at (0.0000, 0.0000, 0.0000), Na at (0.2500, 0.2500, 0.7500), In at (0.2500, 0.2500, 0.2500) and Pb at (0.0000, 0.0000, 0.5000).

=====

Material: Fe2OsPt
Method: DFT, GGA-PBE
State: relaxed

As for the energy above the lowest structure with this stoichiometry: 1103.3 meV per atom. The calculation puts the formation energy at 1.10 eV/atom.

It has space group I-42d (No. 122), with a = 5.4087 Å, b = 5.4087 Å, c = 9.9634 Å, α = 90.00°, β = 90.00° and γ = 90.00°. The asymmetric unit holds Fe at (0.2400, 0.2500, 0.1250), Os at (0.0000, 0.0000, 0.0000) and Pt at (0.0000, 0.0000, 0.5000).

=====

Material: Li2CuPt
Method: DFT, GGA-PBE
State: relaxed

As for the energy above the lowest structure with this stoichiometry: 39.8 meV per atom. The calculation puts the formation energy at -0.34 eV/atom.

It has space group Cmmm (No. 65), with a = 5.2652 Å, b = 7.2538 Å, c = 2.7868 Å, α = 90.00°, β = 90.00° and γ = 90.00°. The asymmetric unit holds Li at (0.2500, 0.2500, 0.0000), Cu at (0.0000, 0.0000, 0.5000) and Pt at (0.0000, 0.5000, 0.5000).

=====

Material: TbPrDy5
Method: DFT, GGA-PBE
State: relaxed

As for the energy above the lowest structure with this stoichiometry: 895.0 meV per atom. The calculation puts the formation energy at 1.09 eV/atom.

It has space group Immm (No. 71), with a = 5.7864 Å, b = 8.6482 Å, c = 11.9211 Å, α = 90.00°, β = 90.00° and γ = 90.00°. The asymmetric unit holds Tb at (0.0000, 0.0000, 0.0000), Pr at (0.0000, 0.0000, 0.5000), Dy at (0.0000, 0.0000, 0.2542), Dy at (0.0000, 0.3229, 0.5000) and Dy at (0.0000, 0.5000, 0.0000).

=====

Material: V5Re4W
Method: DFT, GGA-PBE
State: relaxed

The calculation puts the formation energy at -0.31 eV/atom.

It has space group P4/mmm (No. 123), with a = 3.0452 Å, b = 3.0452 Å, c = 15.2928 Å, α = 90.00°, β = 90.00° and γ = 90.00°. The asymmetric unit holds V at (0.0000, 0.0000, 0.0000), V at (0.0000, 0.0000, 0.1989), V at (0.0000, 0.0000, 0.3976), Re at (0.5000, 0.5000, 0.0995), Re at (0.5000, 0.5000, 0.2986) and W at (0.5000, 0.5000, 0.5000).

=====

Material: InCu2Ru
Method: DFT, GGA-PBE
State: relaxed

The calculation puts the formation energy at 0.24 eV/atom.

It has space group Pmmm (No. 47), with a = 2.7789 Å, b = 3.8547 Å, c = 5.5730 Å, α = 90.00°, β = 90.00° and γ = 90.00°. The asymmetric unit holds In at (0.0000, 0.0000, 0.0000), Cu at (0.5000, 0.5000, 0.2745) and Ru at (0.0000, 0.0000, 0.5000).

=====

Material: PmRh2Pb
Method: DFT, GGA-PBE
State: relaxed

As for the energy above the lowest structure with this stoichiometry: 117.0 meV per atom. The calculation puts the formation energy at -0.36 eV/atom.

It has space group P4/mmm (No. 123), with a = 3.5539 Å, b = 3.5539 Å, c = 6.4449 Å, α = 90.00°, β = 90.00° and γ = 90.00°. The asymmetric unit holds Pm at (0.0000, 0.0000, 0.0000), Rh at (0.5000, 0.5000, 0.2641) and Pb at (0.0000, 0.0000, 0.5000).

=====

Material: AgC3
Method: DFT, GGA-PBE
State: relaxed

As for the energy above the lowest structure with this stoichiometry: 522.9 meV per atom. The calculation puts the formation energy at 1.48 eV/atom.

It has space group Pmmn (No. 59, origin choice 2), with a = 5.5662 Å, b = 8.4364 Å, c = 3.0140 Å, α = 90.00°, β = 90.00° and γ = 90.00°. The asymmetric unit holds Ag at (0.2500, 0.2500, 0.0256), C at (0.0176, 0.7500, 0.4744) and C at (0.2500, 0.7500, 0.4745).